First-principles (GGA-PBE) data for Pa2Tl3NiSe6 after structural relaxation, as listed in the Alexandria database.

## Properties
The value obtained for the theoretical density is 8.02 g/cm³. The magnetic moment is 1.01 μB/f.u. As for the formation energy without anion corrections: -783.3 meV per atom.

Lattice parameters (Å, degrees): 6.9394 6.9394 8.3480 97.90 97.90 120.50
Last column: magnetic moment on the atom in μB.
Element x y z (fractional)
Pa1 0.3337 0.6663 0.0000  0.67
Pa2 0.6663 0.3337 0.0000  0.67
Tl1 0.1690 0.8310 0.5000  0.01
Tl2 0.8310 0.1690 0.5000  0.01
Tl3 0.5000 0.5000 0.5000  0.01
Ni1 0.0000 0.0000 0.0000  -0.46
Se1 0.9352 0.6137 0.8023  -0.03
Se2 0.7498 0.7498 0.1938  -0.03
Se3 0.0648 0.3863 0.1977  -0.03
Se4 0.6137 0.9352 0.8023  -0.03
Se5 0.2502 0.2502 0.8062  -0.03
Se6 0.3863 0.0648 0.1977  -0.03

=====

First-principles (GGA-PBE) data for CsAgTeIrSe after structural relaxation, as listed in the Alexandria database.

## Properties
The value obtained for the theoretical density is 6.70 g/cm³. The magnetic moment is 0.00 μB/f.u. As for the formation energy without anion corrections: -209.4 meV per atom. As for the distance to the lowest polymorph of the same formula: 100 meV/atom.

Lattice parameters (Å, degrees): 5.5179 4.3389 14.3395 90.00 112.52 90.00
Element x y z (fractional)
Cs1 0.1353 0.0000 0.9843
Cs2 0.1353 0.5000 0.4843
Ag1 0.7227 0.0000 0.2264
Ag2 0.7227 0.5000 0.7264
Te1 0.9461 0.0000 0.6782
Te2 0.9461 0.5000 0.1782
Ir1 0.4410 0.0000 0.7702
Ir2 0.4410 0.5000 0.2702
Se1 0.4663 0.0000 0.3504
Se2 0.4663 0.5000 0.8504

=====

First-principles (GGA-PBE) data for AcH2F8 after structural relaxation, as listed in the Alexandria database.

## Properties
The value obtained for the theoretical density is 4.49 g/cm³. The magnetic moment is 1.00 μB/f.u. As for the distance to the lowest polymorph of the same formula: 15 meV/atom.

Lattice parameters (Å, degrees): 5.7231 6.8362 6.8362 38.07 60.50 60.50
Last column: magnetic moment on the atom in μB.
Element x y z (fractional)
Ac1 0.0000 0.0000 0.0000  -0.01
H1 0.4789 0.3082 0.3082  0.00
H2 0.5211 0.6918 0.6918  0.00
F1 0.7585 0.0731 0.6952  0.22
F2 0.2415 0.3048 0.9269  0.22
F3 0.6585 0.2224 0.2224  0.00
F4 0.3415 0.7776 0.7776  0.00
F5 0.7585 0.6952 0.0731  0.22
F6 0.2415 0.9269 0.3048  0.22
F7 0.2581 0.4143 0.4143  0.01
F8 0.7419 0.5857 0.5857  0.01

=====

First-principles (GGA-PBE) data for ScTlCd after structural relaxation, as listed in the Alexandria database.

## Properties
Its total energy is -19.9 eV per cell. The value obtained for the theoretical density is 8.30 g/cm³. The magnetic moment is 0.28 μB/f.u.

Lattice parameters (Å, degrees): 4.7757 3.5154 8.8008 101.52 90.00 90.00
Last column: magnetic moment on the atom in μB.
Element x y z (fractional)
Sc1 0.2500 0.8935 0.2870  0.17
Sc2 0.7500 0.1065 0.7130  0.17
Tl1 0.7500 0.2875 0.0749  0.00
Tl2 0.2500 0.7125 0.9251  0.00
Cd1 0.2500 0.5441 0.5882  0.01
Cd2 0.7500 0.4559 0.4118  0.01

=====

- theoretical density of number 4 (ScTlCd)?
  8.30 g/cm³

=====

- Number 1 is which compound?
  Pa2Tl3NiSe6